## BaAlRh2 (SCAN)

Data for BaAlRh2 at its PBEsol-relaxed geometry.

Cell lengths 3.9042, 3.9042, 5.6746 Å; angles 110.12, 110.12, 90.00 degrees
Fractional positions:
Ba  0.2500  0.7500  0.5000
Rh  0.7500  0.2500  0.5000
Al  0.5000  0.5000  0.0000
Rh  0.0000  0.0000  0.0000

Values from the calculation:
**E above lowest polymorph**: 267.8 meV per atom
**Formation energy from the elements**: 0.79 eV/f.u.
**Spin magnetization**: 0.00 μB/atom